TmMoClO4: single point on PBEsol structure, SCAN.

Structure (POSCAR):
```
TmMoClO4
1.0
5.033 -3.562 0.000
5.033 3.562 0.000
-2.039 0.000 6.402
Tm Mo Cl O
2 2 2 8
direct
0.222 0.222 0.108 Tm
0.778 0.778 0.892 Tm
0.362 0.362 0.732 Mo
0.638 0.638 0.268 Mo
0.008 0.008 0.764 Cl
0.992 0.992 0.236 Cl
0.105 0.490 0.846 O
0.295 0.295 0.462 O
0.456 0.456 0.197 O
0.490 0.105 0.846 O
0.510 0.895 0.154 O
0.544 0.544 0.803 O
0.705 0.705 0.538 O
0.895 0.510 0.154 O
```

## Properties
M_tot = 0.0000 μB per atom
Space group = C2/m (12)
Raw formation energy = -264 kJ/mol of atoms
Fermi-level density of states = 0.000 states/eV per atom
Uncorrected energy = -19.83 eV per atom